# KNiPS4 (PBE, optimized geometry)
# ΔE_f (raw) in eV/atom: -0.623
# Spin magnetization in μB per formula unit: 0.103
# Calculated volume in Å³ per cell: 780
data_KNiPS4
_symmetry_space_group_name_H-M 'P 42/m n m'
_symmetry_Int_Tables_number 136
_symmetry_space_group_name_Hall '-P 4n 2n'
_cell_length_a 8.379
_cell_length_b 8.379
_cell_length_c 11.105
_cell_angle_alpha 90.00
_cell_angle_beta 90.00
_cell_angle_gamma 90.00
loop_
_atom_site_label
_atom_site_fract_x
_atom_site_fract_y
_atom_site_fract_z
K1 0.000 0.500 0.250
Ni1 0.000 0.000 0.000
Ni2 0.000 0.000 0.500
P1 0.250 0.250 0.000
S1 0.005 0.263 0.000
S2 0.135 0.865 0.362

=====

# La6SiN3 (PBE, optimized geometry)
# ΔE_f (raw) in eV/atom: -0.883
# Fermi-level density of states in states/eV/atom: 0.684
# Spin magnetization in μB per formula unit: 0.189
# Calculated volume in Å³ per cell: 508
data_La6SiN3
_symmetry_space_group_name_H-M 'P 1 21/m 1'
_symmetry_Int_Tables_number 11
_cell_length_a 11.155
_cell_length_b 3.794
_cell_length_c 12.977
_cell_angle_alpha 90.00
_cell_angle_beta 112.29
_cell_angle_gamma 90.00
loop_
_symmetry_equiv_pos_as_xyz
'x,y,z'
'-x,-y,-z'
'-x,y+1/2,-z'
'x,-y+1/2,z'
loop_
_atom_site_label
_atom_site_fract_x
_atom_site_fract_y
_atom_site_fract_z
La1 0.019 0.250 0.277
La2 0.145 0.250 0.571
La3 0.156 0.750 0.107
La4 0.307 0.750 0.406
La5 0.355 0.750 0.924
La6 0.457 0.250 0.227
Si1 0.131 0.250 0.914
N1 0.089 0.750 0.435
N2 0.248 0.250 0.268
N3 0.480 0.750 0.116

=====

# BaH3Pd (PBE, optimized geometry)
# Fermi-level density of states in states/eV/atom: 0.241
# Spin magnetization in μB per formula unit: 0.000
# Calculated volume in Å³ per cell: 67
data_BaH3Pd
_symmetry_space_group_name_H-M 'P 4 m m'
_symmetry_Int_Tables_number 99
_cell_length_a 3.880
_cell_length_b 3.880
_cell_length_c 4.469
_cell_angle_alpha 90.00
_cell_angle_beta 90.00
_cell_angle_gamma 90.00
loop_
_symmetry_equiv_pos_as_xyz
'x,y,z'
'-y,x,z'
'-x,-y,z'
'y,-x,z'
'-x,y,z'
'y,x,z'
'x,-y,z'
'-y,-x,z'
loop_
_atom_site_label
_atom_site_fract_x
_atom_site_fract_y
_atom_site_fract_z
Ba1 0.000 0.000 0.000
H1 0.000 0.000 0.501
H2 0.000 0.500 0.513
Pd1 0.500 0.500 0.513

=====

# GdPbBr2 (PBE, optimized geometry)
# ΔE_f (raw) in eV/atom: -0.660
# Fermi-level density of states in states/eV/atom: 0.863
# Spin magnetization in μB per formula unit: 7.193
# Calculated volume in Å³ per cell: 399
data_GdPbBr2
_symmetry_space_group_name_H-M 'R -3 m'
_symmetry_Int_Tables_number 166
_symmetry_space_group_name_Hall '-R 3 2"'
_cell_length_a 3.7767
_cell_length_b 3.7767
_cell_length_c 32.2949
_cell_angle_alpha 90.00
_cell_angle_beta 90.00
_cell_angle_gamma 120.00
loop_
_atom_site_label
_atom_site_fract_x
_atom_site_fract_y
_atom_site_fract_z
Gd1 0.0000 0.0000 0.0000
Pb1 0.0000 0.0000 0.5000
Br1 0.0000 0.0000 0.0849

=====

# Ce2AsP (PBE, optimized geometry)
# Fermi-level density of states in states/eV/atom: 2.112
# Formation energy in eV/atom: -1.458
# Spin magnetization in μB per formula unit: 1.342
# Calculated volume in Å³ per cell: 304
data_Ce2AsP
_symmetry_space_group_name_H-M 'R -3 m'
_symmetry_Int_Tables_number 166
_symmetry_space_group_name_Hall '-R 3 2"'
_cell_length_a 4.1506
_cell_length_b 4.1506
_cell_length_c 20.3825
_cell_angle_alpha 90.00
_cell_angle_beta 90.00
_cell_angle_gamma 120.00
loop_
_atom_site_label
_atom_site_fract_x
_atom_site_fract_y
_atom_site_fract_z
Ce1 0.0000 0.0000 0.2472
As1 0.0000 0.0000 0.0000
P1 0.0000 0.0000 0.5000

=====

# CsPaPt2 (PBE, optimized geometry)
# Fermi-level density of states in states/eV/atom: 1.068
# Formation energy in eV/atom: -0.535
# Spin magnetization in μB per formula unit: 0.000
# Calculated volume in Å³ per cell: 111
data_CsPaPt2
_symmetry_space_group_name_H-M 'P 4/m m m'
_symmetry_Int_Tables_number 123
_symmetry_space_group_name_Hall '-P 4 2'
_cell_length_a 3.593
_cell_length_b 3.593
_cell_length_c 8.605
_cell_angle_alpha 90.00
_cell_angle_beta 90.00
_cell_angle_gamma 90.00
loop_
_atom_site_label
_atom_site_fract_x
_atom_site_fract_y
_atom_site_fract_z
Cs1 0.000 0.000 0.000
Pa1 0.000 0.000 0.500
Pt1 0.500 0.500 0.330

=====

# Pm5Zn2Ir2 (PBE, optimized geometry)
# Fermi-level density of states in states/eV/atom: 0.588
# Formation energy in eV/atom: -0.464
# Spin magnetization in μB per formula unit: 0.000
# Calculated volume in Å³ per cell: 935
data_Pm5Zn2Ir2
_symmetry_space_group_name_H-M 'C m c e'
_symmetry_Int_Tables_number 64
_symmetry_space_group_name_Hall '-C 2ac 2'
_cell_length_a 15.668
_cell_length_b 7.583
_cell_length_c 7.870
_cell_angle_alpha 90.00
_cell_angle_beta 90.00
_cell_angle_gamma 90.00
loop_
_atom_site_label
_atom_site_fract_x
_atom_site_fract_y
_atom_site_fract_z
Pm1 0.000 0.000 0.000
Pm2 0.127 0.175 0.324
Zn1 0.212 0.000 0.000
Ir1 0.000 0.125 0.628

=====

# ScPF2 (PBE, optimized geometry)
# ΔE_f (raw) in eV/atom: -1.945
# Fermi-level density of states in states/eV/atom: 0.081
# Spin magnetization in μB per formula unit: 0.000
# Energy relative to the lowest polymorph listed for this composition in meV per atom: 0
# Calculated volume in Å³ per cell: 221
data_ScPF2
_symmetry_space_group_name_H-M 'I -4 2 d'
_symmetry_Int_Tables_number 122
_symmetry_space_group_name_Hall 'I -4 2bw'
_cell_length_a 3.817
_cell_length_b 3.817
_cell_length_c 15.180
_cell_angle_alpha 90.00
_cell_angle_beta 90.00
_cell_angle_gamma 90.00
loop_
_atom_site_label
_atom_site_fract_x
_atom_site_fract_y
_atom_site_fract_z
Sc1 0.000 0.000 0.000
P1 0.000 0.000 0.500
F1 0.217 0.250 0.125

=====

# CeNdEuLu (PBE, optimized geometry)
# Fermi-level density of states in states/eV/atom: 2.880
# Formation energy in eV/atom: 0.244
# Spin magnetization in μB per formula unit: 5.500
# Calculated volume in Å³ per cell: 548
data_CeNdEuLu
_symmetry_space_group_name_H-M 'F -4 3 m'
_symmetry_Int_Tables_number 216
_symmetry_space_group_name_Hall 'F -4 2 3'
_cell_length_a 8.181
_cell_length_b 8.181
_cell_length_c 8.181
_cell_angle_alpha 90.00
_cell_angle_beta 90.00
_cell_angle_gamma 90.00
loop_
_atom_site_label
_atom_site_fract_x
_atom_site_fract_y
_atom_site_fract_z
Ce1 0.000 0.000 0.000
Nd1 0.250 0.250 0.750
Eu1 0.000 0.000 0.500
Lu1 0.250 0.250 0.250

=====

# SeF3 (PBE, optimized geometry)
# ΔE_f (raw) in eV/atom: -0.122
# Fermi-level density of states in states/eV/atom: 0.345
# Spin magnetization in μB per formula unit: 0.000
# Calculated volume in Å³ per cell: 164
data_SeF3
_symmetry_space_group_name_H-M 'R -3 m'
_symmetry_Int_Tables_number 166
_symmetry_space_group_name_Hall '-R 3 2"'
_cell_length_a 2.9775
_cell_length_b 2.9775
_cell_length_c 21.3049
_cell_angle_alpha 90.00
_cell_angle_beta 90.00
_cell_angle_gamma 120.00
loop_
_atom_site_label
_atom_site_fract_x
_atom_site_fract_y
_atom_site_fract_z
Se1 0.0000 0.0000 0.0000
F1 0.0000 0.0000 0.4116
F2 0.0000 0.0000 0.5000

=====

# CaNb2Ni (PBE, optimized geometry)
# Fermi-level density of states in states/eV/atom: 1.870
# Formation energy in eV/atom: 0.932
# Spin magnetization in μB per formula unit: 0.000
# Energy relative to the lowest polymorph listed for this composition in meV per atom: 203
# Calculated volume in Å³ per cell: 417
data_CaNb2Ni
_symmetry_space_group_name_H-M 'I 41/a m d'
_symmetry_Int_Tables_number 141
_cell_length_a 4.855
_cell_length_b 4.855
_cell_length_c 17.691
_cell_angle_alpha 90.00
_cell_angle_beta 90.00
_cell_angle_gamma 90.00
loop_
_symmetry_equiv_pos_as_xyz
'x,y,z'
'-x,-y,-z'
'-y+1/4,x+3/4,z+1/4'
'y+1/4,-x+3/4,-z+1/4'
'-x+1/2,-y,z+1/2'
'x+1/2,y,-z+1/2'
'y+1/4,-x+1/4,z+3/4'
'-y+1/4,x+1/4,-z+3/4'
'x,-y,-z'
'-x,y,z'
'-y+1/4,-x+1/4,-z+3/4'
'y+1/4,x+1/4,z+3/4'
'-x+1/2,y,-z+1/2'
'x+1/2,-y,z+1/2'
'y+1/4,x+3/4,-z+1/4'
'-y+1/4,-x+3/4,z+1/4'
'x+1/2,y+1/2,z+1/2'
'-x+1/2,-y+1/2,-z+1/2'
'-y+3/4,x+1/4,z+3/4'
'y+3/4,-x+1/4,-z+3/4'
'-x,-y+1/2,z'
'x,y+1/2,-z'
'y+3/4,-x+3/4,z+1/4'
'-y+3/4,x+3/4,-z+1/4'
'x+1/2,-y+1/2,-z+1/2'
'-x+1/2,y+1/2,z+1/2'
'-y+3/4,-x+3/4,-z+1/4'
'y+3/4,x+3/4,z+1/4'
'-x,y+1/2,-z'
'x,-y+1/2,z'
'y+3/4,x+1/4,-z+3/4'
'-y+3/4,-x+1/4,z+3/4'
loop_
_atom_site_label
_atom_site_fract_x
_atom_site_fract_y
_atom_site_fract_z
Ca1 0.000 0.250 0.375
Nb1 0.000 0.000 0.000
Ni1 0.000 0.250 0.875

=====

# Li4Y3PaTe8 (PBE, optimized geometry)
# ΔE_f (raw) in eV/atom: -1.176
# Fermi-level density of states in states/eV/atom: 0.586
# Spin magnetization in μB per formula unit: 1.734
# Calculated volume in Å³ per cell: 1379
data_Li4Y3PaTe8
_symmetry_space_group_name_H-M 'R -3 m'
_symmetry_Int_Tables_number 166
_symmetry_space_group_name_Hall '-R 3 2"'
_cell_length_a 8.6410
_cell_length_b 8.6410
_cell_length_c 21.3252
_cell_angle_alpha 90.00
_cell_angle_beta 90.00
_cell_angle_gamma 120.00
loop_
_atom_site_label
_atom_site_fract_x
_atom_site_fract_y
_atom_site_fract_z
Li1 0.0000 0.0000 0.0000
Li2 0.0000 0.5000 0.0000
Y1 0.0000 0.5000 0.5000
Pa1 0.0000 0.0000 0.5000
Te1 0.0000 0.0000 0.2523
Te2 0.0011 0.5005 0.7469

=====

Taking the records one at a time from the top gives total DFT energy (no corrections) values of -132.65; -137.59; -16.86; -71.33; -83.27; -24.57; -192.78; -93.06; -98.08; -28.76; -96.78; -241.50 eV for the cell shown.